Record 1
Tm6P2AuSe3 | Alexandria | PBE | relaxed; D(E_F) = 0.36 states/eV per atom; total moment = 0.0 μB/f.u.; SG = C2/m (12); energy = -69.977 eV/cell
1.0
3.967 0.000 0.000
0.000 8.137 0.294
-1.984 -2.342 8.481
Tm P Au Se
6 2 1 3
Cartesian
0.000 5.765 5.902
1.984 3.853 3.095
1.984 0.030 2.874
0.000 2.018 0.174
1.984 3.778 8.601
0.000 1.942 5.680
1.984 3.838 5.830
0.000 1.958 2.945
1.984 0.000 0.000
1.984 4.069 0.147
1.984 -0.194 5.692
0.000 5.989 3.084

Record 2
U2GaBr8 | Alexandria | PBE | relaxed; D(E_F) = 1.79 states/eV per atom; energy relative to the lowest polymorph listed for this composition = 7.8 kJ/mol of atoms; total moment = 5.0 μB/f.u.; SG = P-3 (147)
1.0
-4.666 2.932 1.776
-0.096 -5.098 8.165
4.983 8.222 -0.483
U Br Ga
2 8 1
Cartesian
2.193 4.471 2.817
-1.973 1.584 6.641
0.404 0.091 5.736
-0.184 5.965 3.722
-2.721 -0.644 8.010
0.499 2.681 1.667
2.883 4.193 5.434
2.941 6.700 1.448
-0.279 3.375 7.791
-2.663 1.863 4.024
4.983 8.222 -0.483

Record 3
La2PmHoSc | Alexandria | PBE | relaxed; D(E_F) = 1.45 states/eV per atom; total moment = 0.0 μB/f.u.; formation enthalpy at 0 K = 0.357 eV per atom; SG = Cmcm (63)
1.0
-2.051 -4.805 5.087
7.938 -1.414 1.864
-4.138 4.936 2.994
La Pm Ho Sc
4 2 2 2
Cartesian
1.364 -2.828 3.105
5.549 -0.989 1.303
4.524 -3.391 3.847
2.389 -0.426 0.561
3.379 0.038 4.011
-1.629 -1.321 5.935
2.348 -2.226 6.683
-0.598 0.943 3.262
3.292 2.221 6.038
-1.542 -3.504 3.908

Record 4
HfTePt2Cl | Alexandria | PBE | relaxed; D(E_F) = 0.93 states/eV per atom; total moment = 0.6 μB/f.u.; SG = P4/mmm (123); energy = -23.724 eV/cell
1.0
4.923 0.000 0.000
0.000 5.468 0.000
0.000 0.000 4.923
Te Hf Pt Cl
1 1 2 1
Cartesian
0.000 0.000 0.000
0.000 2.734 0.000
0.000 0.000 2.462
2.462 0.000 0.000
2.462 2.734 2.462

Record 5
Tb12Pm7Sc | Alexandria | PBE | relaxed; D(E_F) = 1.61 states/eV per atom; energy relative to the lowest polymorph listed for this composition = 0.0 kJ/mol of atoms; total moment = 0.0 μB/f.u.; formation enthalpy at 0 K = 0.255 eV per atom; SG = R-3 (148)
1.0
-1.851 -5.770 -6.283
8.598 -0.662 -1.357
0.088 -6.152 6.192
Tb Pm Sc
12 7 1
Cartesian
0.703 -9.518 -1.353
1.119 -5.318 -4.179
0.406 -6.110 -0.884
3.169 -7.936 -3.246
0.729 -6.308 2.584
2.895 -8.592 1.164
3.939 -3.992 -2.611
6.105 -6.276 -4.032
3.665 -4.648 1.798
6.428 -6.475 -0.564
5.715 -7.266 2.732
6.131 -3.066 -0.095
3.892 -11.352 -0.502
-0.250 -2.886 -1.636
0.968 -2.621 1.807
3.417 -6.292 -0.724
5.867 -9.963 -3.254
7.084 -9.698 0.189
2.943 -1.232 -0.946
0.000 0.000 0.000

Record 6
Mg2ZnB2Pt5 | Alexandria | PBE | relaxed; D(E_F) = 0.35 states/eV per atom; total moment = 0.0 μB/f.u.; formation enthalpy at 0 K = -0.563 eV per atom; SG = P4/mbm (127)
1.0
-0.016 -3.175 0.183
5.292 0.417 7.699
-7.710 0.343 5.281
Mg Zn B Pt
4 2 4 10
Cartesian
2.223 0.341 6.119
-4.641 0.418 6.861
-1.581 0.184 3.063
-0.836 0.575 9.917
0.000 0.000 0.000
-1.209 0.380 6.490
-4.163 0.268 4.293
1.745 0.491 8.687
-3.409 0.560 9.438
0.991 0.199 3.542
0.557 -1.473 2.131
-2.991 -0.943 11.032
-5.675 -1.288 4.809
0.486 -1.144 7.841
3.242 -1.128 8.354
-2.920 -1.272 5.321
-2.478 -1.104 8.281
0.045 -1.312 4.882
2.638 -1.379 3.941
-3.863 -1.416 2.732

Record 7
HfSiPCl2 | Alexandria | PBE | relaxed; D(E_F) = 0.70 states/eV per atom; energy relative to the lowest polymorph listed for this composition = 43.0 kJ/mol of atoms; total moment = 1.3 μB/f.u.; SG = P4/mmm (123)
1.0
-0.861 -4.201 -1.511
3.375 -1.620 2.581
-3.151 -0.682 3.692
P Si Hf Cl
1 1 1 2
Cartesian
-1.575 -0.341 1.846
0.000 0.000 0.000
-0.318 -3.252 2.381
1.687 -0.810 1.290
-0.430 -2.101 -0.756

Record 8
AcLaDyZn | Alexandria | PBE | relaxed; D(E_F) = 1.51 states/eV per atom; energy relative to the lowest polymorph listed for this composition = 0.0 kJ/mol of atoms; total moment = 0.0 μB/f.u.; formation enthalpy at 0 K = -0.131 eV per atom; SG = P4mm (99)
1.0
-3.211 0.531 1.841
1.331 -1.966 2.889
3.339 7.601 3.634
Ac La Dy Zn
1 1 1 1
Cartesian
0.281 0.639 0.305
1.631 5.135 5.162
0.323 2.157 3.739
1.845 4.200 2.008

Record 9
Fe2TcNi | Alexandria | PBE | relaxed; D(E_F) = 1.51 states/eV per atom; total moment = 4.5 μB/f.u.; formation enthalpy at 0 K = 0.197 eV per atom; SG = Pmmm (47)
1.0
-1.110 1.011 -2.491
-2.200 -3.450 -0.421
-3.102 1.724 2.082
Fe Ni Tc
2 1 1
Cartesian
0.000 0.000 0.000
-1.655 -1.219 -1.456
-2.106 1.368 -0.205
-2.651 -0.863 0.831

Record 10
RbMgIn2Hg8 | Alexandria | PBE | relaxed; D(E_F) = 0.34 states/eV per atom; total moment = 0.0 μB/f.u.; formation enthalpy at 0 K = -0.074 eV per atom; SG = C2/m (12)
1.0
6.206 -0.116 0.875
2.760 5.560 0.875
2.128 1.292 10.324
Rb Mg In Hg
1 1 2 8
Cartesian
1.064 0.646 5.162
0.000 0.000 0.000
6.294 3.822 2.981
4.800 2.915 9.093
7.945 2.955 8.877
9.040 5.489 10.405
6.895 4.186 6.144
4.200 2.550 5.929
2.055 1.248 1.668
6.287 5.686 8.877
4.807 1.050 3.196
3.150 3.781 3.196

Record 11
PmZnTe2 | Alexandria | PBE | relaxed; D(E_F) = 0.62 states/eV per atom; total moment = 0.0 μB/f.u.; SG = R-3m (166); energy = -15.070 eV/cell
1.0
4.508 0.000 0.000
2.254 3.904 0.000
2.254 1.301 8.818
Zn Te Pm
1 2 1
Cartesian
0.000 0.000 0.000
2.254 1.301 6.197
6.762 3.904 2.621
4.508 2.603 4.409

Record 12
Zn2CdRuW | Alexandria | PBE | relaxed; D(E_F) = 1.13 states/eV per atom; total moment = 1.6 μB/f.u.; formation enthalpy at 0 K = 1.959 eV per atom; SG = P4/mmm (123)
1.0
4.566 0.000 0.000
0.000 5.121 0.000
0.000 0.000 4.566
Ru Zn W Cd
1 2 1 1
Cartesian
2.283 2.561 2.283
0.000 0.000 2.283
2.283 0.000 0.000
0.000 2.561 0.000
0.000 0.000 0.000